[1]
K3SiBi3Se8 after structural relaxation. Source: Alexandria, functional GGA-PBE.

Properties
Raw formation energy ... -10.04 eV per formula unit
V ... 31.88 Å³ per atom

Cell lengths 8.331, 8.333, 9.296 Å; angles 116.63, 90.00, 119.99 degrees
Positions (direct):
K (0.000, 0.000, 0.000)
K (0.000, 0.500, 0.000)
K (0.500, 0.500, 0.000)
Si (0.000, 0.000, 0.500)
Bi (0.500, 0.000, 0.500)
Bi (0.500, 0.500, 0.500)
Bi (0.000, 0.500, 0.500)
Se (0.262, 0.523, 0.285)
Se (0.738, 0.477, 0.715)
Se (0.796, 0.592, 0.313)
Se (0.204, 0.408, 0.687)
Se (0.796, 0.018, 0.313)
Se (0.204, 0.982, 0.687)
Se (0.222, 0.018, 0.313)
Se (0.778, 0.982, 0.687)

---

[2]
K3Sm2BiSe6 after structural relaxation. Source: Alexandria, functional GGA-PBE.

Properties
Raw formation energy ... -17.30 eV per formula unit
Density of states at the Fermi level ... 0.0000 states/eV/atom
V ... 30.99 Å³ per atom

Cell lengths 7.465, 7.465, 8.096 Å; angles 98.84, 98.84, 120.00 degrees
Positions (direct):
K (0.165, 0.835, 0.500)
K (0.835, 0.165, 0.500)
K (0.500, 0.500, 0.500)
Sm (0.333, 0.667, 0.000)
Sm (0.667, 0.333, 0.000)
Bi (0.000, 0.000, 0.000)
Se (0.930, 0.594, 0.790)
Se (0.734, 0.734, 0.209)
Se (0.070, 0.406, 0.210)
Se (0.594, 0.930, 0.790)
Se (0.266, 0.266, 0.791)
Se (0.406, 0.070, 0.210)

---

[3]
K2Sm2Bi2Se after structural relaxation. Source: Alexandria, functional GGA-PBE.

Properties
Raw formation energy ... -6.35 eV per formula unit
Density of states at the Fermi level ... 0.4434 states/eV/atom
V ... 39.89 Å³ per atom

Cell lengths 5.547, 5.547, 9.888 Å; angles 106.29, 106.29, 90.00 degrees
Positions (direct):
K (0.185, 0.185, 0.370)
K (0.815, 0.815, 0.630)
Sm (0.000, 0.500, 0.000)
Sm (0.500, 0.000, 0.000)
Bi (0.388, 0.388, 0.775)
Bi (0.612, 0.612, 0.225)
Se (0.000, 0.000, 0.000)

---

[4]
K4Sm3BiSe8 after structural relaxation. Source: Alexandria, functional GGA-PBE.

Properties
Raw formation energy ... -24.33 eV per formula unit
Density of states at the Fermi level ... 0.0000 states/eV/atom
V ... 30.95 Å³ per atom

Cell lengths 8.614, 9.174, 8.614 Å; angles 118.02, 120.00, 90.00 degrees
Positions (direct):
K (0.500, 0.000, 0.000)
K (0.500, 0.000, 0.500)
K (0.000, 0.000, 0.000)
K (0.000, 0.000, 0.500)
Sm (0.500, 0.500, 0.000)
Sm (0.500, 0.500, 0.500)
Sm (0.000, 0.500, 0.500)
Bi (0.000, 0.500, 0.000)
Se (0.238, 0.710, 0.972)
Se (0.238, 0.710, 0.476)
Se (0.264, 0.291, 0.528)
Se (0.734, 0.710, 0.972)
Se (0.266, 0.290, 0.028)
Se (0.736, 0.709, 0.472)
Se (0.762, 0.290, 0.524)
Se (0.762, 0.290, 0.028)

---

[5]
K3Sm3BiSe8 after structural relaxation. Source: Alexandria, functional GGA-PBE.

Properties
Raw formation energy ... -21.37 eV per formula unit
Density of states at the Fermi level ... 0.4916 states/eV/atom
V ... 32.76 Å³ per atom

Cell lengths 8.495, 8.500, 9.266 Å; angles 117.35, 90.00, 119.98 degrees
Positions (direct):
K (0.000, 0.000, 0.000)
K (0.000, 0.500, 0.000)
K (0.500, 0.500, 0.000)
Sm (0.500, 0.000, 0.500)
Sm (0.500, 0.500, 0.500)
Sm (0.000, 0.500, 0.500)
Bi (0.000, 0.000, 0.500)
Se (0.264, 0.528, 0.292)
Se (0.736, 0.472, 0.708)
Se (0.766, 0.531, 0.294)
Se (0.234, 0.469, 0.706)
Se (0.766, 0.028, 0.294)
Se (0.234, 0.972, 0.706)
Se (0.262, 0.028, 0.294)
Se (0.738, 0.972, 0.706)

---

[6]
KSn3Bi2Se6 after structural relaxation. Source: Alexandria, functional GGA-PBE.

Properties
Raw formation energy ... -5.81 eV per formula unit
Density of states at the Fermi level ... 0.2184 states/eV/atom
V ... 29.60 Å³ per atom

Cell lengths 4.259, 9.024, 9.715 Å; angles 102.51, 102.66, 90.00 degrees
Positions (direct):
K (0.500, 0.000, 0.000)
Sn (0.500, 0.500, 0.000)
Sn (0.830, 0.168, 0.661)
Sn (0.170, 0.832, 0.339)
Bi (0.837, 0.659, 0.673)
Bi (0.163, 0.341, 0.327)
Se (0.323, 0.881, 0.645)
Se (0.665, 0.606, 0.329)
Se (0.677, 0.119, 0.355)
Se (0.012, 0.274, 0.025)
Se (0.988, 0.726, 0.975)
Se (0.335, 0.394, 0.671)